This record from Alexandria describes an optimized crystal structure of BaInFe4O7. The functional is PBE+U.

## Properties
The value obtained for the total DFT energy (no corrections) is -6.2394 eV/atom. The calculation puts the magnetic moment at 68.09 μB/cell. As for the density of states at the Fermi level: 3.6 states/eV/f.u. The value obtained for the mass density is 5.39 g cm⁻³.

Cell: 8.978 8.978 8.978 Å, 90.00 90.00 90.00°
Space group F-43m (No. 216)
Inequivalent atoms, fractional coordinates:
Ba (0.000, 0.000, 0.000)
In (0.250, 0.250, 0.250)
Fe (0.128, 0.128, 0.628)
O (0.000, 0.000, 0.500)
O (0.006, 0.250, 0.250)

This record from Alexandria describes an optimized crystal structure of Ba2InFeO6. The functional is PBE+U.

## Properties
The value obtained for the total DFT energy (no corrections) is -5.9967 eV/atom. The calculation puts the magnetic moment at 4.61 μB/cell. As for the density of states at the Fermi level: 6.5 states/eV/f.u. The value obtained for the mass density is 6.22 g cm⁻³.

Cell: 4.174 4.174 8.295 Å, 90.00 90.00 90.00°
Space group P4/mmm (No. 123)
Inequivalent atoms, fractional coordinates:
Ba (0.000, 0.000, 0.243)
In (0.500, 0.500, 0.500)
Fe (0.500, 0.500, 0.000)
O (0.000, 0.500, 0.000)
O (0.000, 0.500, 0.500)
O (0.500, 0.500, 0.225)

This record from Alexandria describes an optimized crystal structure of Ba3InFe2O8. The functional is PBE+U.

## Properties
The value obtained for the total DFT energy (no corrections) is -6.1932 eV/atom. The calculation puts the magnetic moment at 9.00 μB/cell. As for the density of states at the Fermi level: 7.8 states/eV/f.u. The value obtained for the mass density is 5.49 g cm⁻³.

Cell: 5.9393 5.9393 7.5901 Å, 90.00 90.00 120.00°
Space group P-3m1 (No. 164)
Inequivalent atoms, fractional coordinates:
Ba (0.0000, 0.0000, 0.0000)
Ba (0.3333, 0.6667, 0.6548)
In (0.0000, 0.0000, 0.5000)
Fe (0.3333, 0.6667, 0.2190)
O (0.1665, 0.3330, 0.3225)
O (0.3333, 0.6667, 0.9824)

> The lowest magnetic moment belongs to which entry?

Ba2InFeO6